This record from the Alexandria database describes RePCCl2 after structural relaxation. The functional is GGA-PBEsol.

```
RePCCl2
1.0
3.994 0.000 0.000
0.000 3.994 0.000
0.000 0.000 4.085
Re P C Cl
1 1 1 2
Direct
0.000 0.000 0.000
0.500 0.500 0.000
0.500 0.500 0.500
0.000 0.500 0.500
0.500 0.000 0.500
```

Computed properties:
Mass density, g/cm³: 7.65
Spin magnetization, μB per cell: 0.000
Formation energy from raw total energies, kJ/mol of atoms: 169.9
Fermi-level density of states, states/eV/cell: 3.1
SG: No. 123
Volume, Å³ per cell: 65.1